Record 1
Here is a geometry-optimized HoLuTcPd structure from the Alexandria database. Energies are from PBE-GGA.

Results
* crystal system: cubic
* total magnetization: 0.00 μB per cell
* VASP energy: -0.24265 hartree per atom
* formation energy from the elements: -42 kJ per mole of atoms

a = 4.8239 Å, b = 4.8239 Å, c = 4.8239 Å
α = 60.00°, β = 60.00°, γ = 60.00°
Positions (direct):
Ho  0.0000  0.0000  0.0000
Lu  0.5000  0.5000  0.5000
Tc  0.2500  0.2500  0.2500
Pd  0.7500  0.7500  0.7500

Record 2
Here is a geometry-optimized HoLuTlPd structure from the Alexandria database. Energies are from PBE-GGA.

Results
* crystal system: cubic
* total magnetization: 0.00 μB per cell
* VASP energy: -0.17345 hartree per atom
* formation energy from the elements: -54 kJ per mole of atoms

a = 5.1135 Å, b = 5.1135 Å, c = 5.1135 Å
α = 60.00°, β = 60.00°, γ = 60.00°
Positions (direct):
Ho  0.0000  0.0000  0.0000
Lu  0.5000  0.5000  0.5000
Tl  0.2500  0.2500  0.2500
Pd  0.7500  0.7500  0.7500

Which value of formation energy from the elements does entry 1 give? -42 kJ per mole of atoms